Material: DyYTlTe3
Method: DFT, GGA-PBE
State: optimized geometry

Cell: 4.418 15.305 12.022 Å, 90.00 90.00 90.00°
Space group Cmcm (No. 63)
Inequivalent atoms, fractional coordinates:
1 Dy 0.000 0.000 0.000 (multiplicity 4)
2 Y 0.000 0.433 0.250 (multiplicity 4)
3 Tl 0.000 0.254 0.750 (multiplicity 4)
4 Te 0.000 0.064 0.250 (multiplicity 4)
5 Te 0.000 0.357 0.026 (multiplicity 8)

Computed properties:
calculated density = 6.9 Mg/m³
V = 813 Å³/cell
raw total energy = -4.79 eV/atom